Entry 1:
! CoSb2P PBE relaxed; values from VASP
! **Magnetization**: 0.00 Bohr magnetons per cell
! **E_form (uncorrected)**: 8 kJ/mol of formula units
! **Space group**: Amm2, No. 38
&SYSTEM
  ibrav = 0, nat = 4, ntyp = 3
/
ATOMIC_SPECIES
Co 58.93 Co.upf
P 30.97 P.upf
Sb 121.76 Sb.upf
CELL_PARAMETERS angstrom
-0.834 -0.344 -3.094
5.033 -1.467 -1.193
1.674 -5.108 0.117
ATOMIC_POSITIONS angstrom
Co 3.484 -3.415 -0.559
P 4.136 -4.636 -2.278
Sb 0.043 -0.042 -0.007
Sb 1.563 -2.113 -1.865

---

Entry 2:
! CoSb2P PBE relaxed; values from VASP
! **Magnetization**: 0.62 Bohr magnetons per cell
! **E_form (uncorrected)**: 204 kJ/mol of formula units
! **Space group**: Cmmm, No. 65
&SYSTEM
  ibrav = 0, nat = 4, ntyp = 3
/
ATOMIC_SPECIES
Co 58.93 Co.upf
P 30.97 P.upf
Sb 121.76 Sb.upf
CELL_PARAMETERS angstrom
4.793 0.033 0.000
-0.768 4.731 0.000
0.000 0.000 3.312
ATOMIC_POSITIONS angstrom
Co 2.397 0.016 1.656
P -0.384 2.366 1.656
Sb 0.000 0.000 0.000
Sb 2.013 2.382 0.000

---

Entry 3:
! CoSbP4 PBE relaxed; values from VASP
! **Magnetization**: 1.32 Bohr magnetons per cell
! **E_form (uncorrected)**: 482 kJ/mol of formula units
! **Space group**: F-43m, No. 216
&SYSTEM
  ibrav = 0, nat = 6, ntyp = 3
/
ATOMIC_SPECIES
Co 58.93 Co.upf
Sb 121.76 Sb.upf
P 30.97 P.upf
CELL_PARAMETERS angstrom
-2.986 -1.237 4.039
-0.178 3.107 4.133
-4.274 2.741 0.993
ATOMIC_POSITIONS angstrom
Co 0.000 0.000 0.000
Sb -5.579 3.458 6.874
P -4.312 1.048 5.503
P -4.990 3.142 3.899
P -2.834 3.334 5.552
P -2.740 1.699 3.376

---

Entry 4:
! CoSbP PBE relaxed; values from VASP
! **Magnetization**: 0.00 Bohr magnetons per cell
! **E_form (uncorrected)**: -105 kJ/mol of formula units
! **Space group**: Pbca, No. 61
! **Relative energy among the computed polymorphs**: 5 meV/atom
&SYSTEM
  ibrav = 0, nat = 24, ntyp = 3
/
ATOMIC_SPECIES
Co 58.93 Co.upf
P 30.97 P.upf
Sb 121.76 Sb.upf
CELL_PARAMETERS angstrom
5.969 0.000 0.000
0.000 6.008 0.000
0.000 0.000 10.992
ATOMIC_POSITIONS angstrom
Co 0.090 0.700 4.387
Co 2.895 5.308 9.883
Co 5.879 3.704 1.109
Co 3.075 2.304 6.605
Co 5.879 5.308 6.605
Co 3.075 0.700 1.109
Co 0.090 2.304 9.883
Co 2.895 3.704 4.387
P 2.087 1.653 4.736
P 0.897 4.355 10.233
P 3.882 4.657 0.760
P 5.072 1.351 6.256
P 3.882 4.355 6.256
P 5.072 1.653 0.760
P 2.087 1.351 10.233
P 0.897 4.657 4.736
Sb 0.714 0.015 1.934
Sb 2.271 5.992 7.430
Sb 5.256 3.019 3.562
Sb 3.699 2.989 9.058
Sb 5.256 5.992 9.058
Sb 3.699 0.015 3.562
Sb 0.714 2.989 7.430
Sb 2.271 3.019 1.934

---

Entry 5:
! CoSb2P PBE relaxed; values from VASP
! **Magnetization**: 0.00 Bohr magnetons per cell
! **E_form (uncorrected)**: 89 kJ/mol of formula units
! **Space group**: I-42d, No. 122
&SYSTEM
  ibrav = 0, nat = 8, ntyp = 3
/
ATOMIC_SPECIES
Sb 121.76 Sb.upf
Co 58.93 Co.upf
P 30.97 P.upf
CELL_PARAMETERS angstrom
-4.767 -1.178 3.326
3.254 -3.626 3.380
0.542 1.928 6.747
ATOMIC_POSITIONS angstrom
Sb -2.591 -0.745 4.295
Sb 1.728 -1.893 4.108
Sb -0.266 -0.238 7.466
Sb -0.811 -2.875 11.037
Co 0.000 0.000 0.000
Co -2.490 -0.826 6.713
P -0.756 -2.402 3.353
P 1.520 -2.050 6.740

---

Entry 6:
! CoSb2P PBE relaxed; values from VASP
! **Magnetization**: 0.00 Bohr magnetons per cell
! **E_form (uncorrected)**: 12 kJ/mol of formula units
! **Space group**: Cm, No. 8
&SYSTEM
  ibrav = 0, nat = 4, ntyp = 3
/
ATOMIC_SPECIES
Co 58.93 Co.upf
P 30.97 P.upf
Sb 121.76 Sb.upf
CELL_PARAMETERS angstrom
3.991 -0.002 -0.009
2.486 3.123 -0.009
1.012 0.488 6.594
ATOMIC_POSITIONS angstrom
Co 3.668 1.768 2.727
P 1.690 0.814 2.336
Sb 0.196 0.094 0.446
Sb 5.680 2.737 4.356

---

Entry 7:
! CoSb2P PBE relaxed; values from VASP
! **Magnetization**: 1.29 Bohr magnetons per cell
! **E_form (uncorrected)**: 221 kJ/mol of formula units
! **Space group**: Immm, No. 71
&SYSTEM
  ibrav = 0, nat = 4, ntyp = 3
/
ATOMIC_SPECIES
Co 58.93 Co.upf
P 30.97 P.upf
Sb 121.76 Sb.upf
CELL_PARAMETERS angstrom
-1.949 2.846 3.744
1.009 -3.021 3.971
2.711 2.470 -3.531
ATOMIC_POSITIONS angstrom
Co 0.146 2.614 2.036
P 1.625 -0.319 2.149
Sb -0.928 -0.173 7.620
Sb -0.482 -0.090 3.953

---

Entry 8:
! CoSb2P PBE relaxed; values from VASP
! **Magnetization**: 0.00 Bohr magnetons per cell
! **E_form (uncorrected)**: 74 kJ/mol of formula units
! **Space group**: C2/m, No. 12
&SYSTEM
  ibrav = 0, nat = 4, ntyp = 3
/
ATOMIC_SPECIES
Co 58.93 Co.upf
P 30.97 P.upf
Sb 121.76 Sb.upf
CELL_PARAMETERS angstrom
-1.751 2.852 1.499
0.007 0.440 3.640
4.942 4.722 1.262
ATOMIC_POSITIONS angstrom
Co 2.398 6.010 4.801
P 0.799 2.003 1.600
Sb 4.818 4.641 1.272
Sb 1.722 4.087 3.191